A plane-wave DFT calculation with PBE was carried out for Gd2DyAu after structural relaxation.

The structure belongs to space group P4/mmm (No. 123); the cell edges are 4.698, 4.698 and 4.851 Å and the angles 90.00°, 90.00° and 90.00°. Symmetry generates all atoms from Gd at (0.000, 0.500, 0.000), Dy at (0.000, 0.000, 0.500) and Au at (0.500, 0.500, 0.500).

The value obtained for the total moment is 15.7 Bohr magnetons per cell. The value obtained for the calculated density is 10.5 g cm⁻³. The value obtained for the energy relative to the elements is -1.04 eV per formula unit. Its excess energy over the best structure of this formula in the dataset is 121 meV per atom. The value obtained for the total energy is -9.271 eV/atom.